# BeIrCl PBE optimized geometry
# Energy relative to the lowest polymorph listed for this composition = 521 meV/atom
# Crystal system = tetragonal
# Magnetization = 0.000 μB per formula unit
# Formation energy (no corrections) = 0.079 eV per atom
data_BeIrCl
_space_group_name_H-M_alt 'I 4 m m'
_space_group_IT_number 107
_space_group_name_Hall 'I 4 -2'
_cell_length_a 2.792
_cell_length_b 2.792
_cell_length_c 11.737
_cell_angle_alpha 90.00
_cell_angle_beta 90.00
_cell_angle_gamma 90.00
loop_
_atom_site_label
_atom_site_type_symbol
_atom_site_fract_x
_atom_site_fract_y
_atom_site_fract_z
Be1 Be 0.000 0.000 0.000
Ir1 Ir 0.000 0.000 0.613
Cl1 Cl 0.000 0.000 0.825